No. 1
A plane-wave DFT calculation with PBE-GGA was carried out for a relaxed structure of ScTlHg2Rh.

- Formation enthalpy at 0 K: -0.067 eV/atom

The structure in POSCAR format:
```
ScTlHg2Rh
1.0
5.3490 0.0000 0.0000
0.0000 4.7032 0.0000
0.0000 0.0000 5.3490
Hg Sc Rh Tl
2 1 1 1
direct
0.0000 0.0000 0.5000 Hg
0.5000 0.0000 0.0000 Hg
0.0000 0.5000 0.0000 Sc
0.0000 0.0000 0.0000 Rh
0.5000 0.5000 0.5000 Tl
```



No. 2
A plane-wave DFT calculation with PBE-GGA was carried out for a relaxed structure of TbTaGe2O8.

- E_form (uncorrected): -28.3 eV/f.u.

The structure in POSCAR format:
```
TbTaGe2O8
1.0
5.7738 0.1035 0.0000
-2.4680 5.2207 0.0000
-1.6529 -2.6621 4.8506
Ta Ge Tb O
1 2 1 8
direct
0.0000 0.0000 0.0000 Ta
0.7500 0.2500 0.5000 Ge
0.5000 0.5000 0.0000 Ge
0.2500 0.7500 0.5000 Tb
0.5319 0.7064 0.8255 O
0.2936 0.4681 0.1745 O
0.7669 0.0681 0.6988 O
0.9319 0.2331 0.3012 O
0.9319 0.6306 0.6988 O
0.3694 0.0681 0.3012 O
0.2936 0.1190 0.8255 O
0.8810 0.7064 0.1745 O
```



No. 3
A plane-wave DFT calculation with PBE-GGA was carried out for a relaxed structure of PrHo3Sc4.

- Formation enthalpy at 0 K: 0.037 eV/atom

The structure in POSCAR format:
```
PrHo3Sc4
1.0
6.0060 0.0000 0.0000
0.0000 6.9878 0.0000
0.0000 0.0000 10.8354
Sc Ho Pr
8 6 2
direct
0.6505 0.1136 0.0000 Sc
0.4785 0.8845 0.2474 Sc
0.1505 0.8864 0.5000 Sc
0.9785 0.1155 0.7474 Sc
0.6509 0.1152 0.5000 Sc
0.1509 0.8848 0.0000 Sc
0.9785 0.1155 0.2526 Sc
0.4785 0.8845 0.7526 Sc
0.9872 0.6358 0.7504 Ho
0.4872 0.3642 0.7496 Ho
0.4872 0.3642 0.2504 Ho
0.9872 0.6358 0.2496 Ho
0.6404 0.6350 0.0000 Ho
0.1404 0.3650 0.5000 Ho
0.6420 0.6343 0.5000 Pr
0.1420 0.3657 0.0000 Pr
```